{"formula": "K4Ce3PdO8", "functional": "PBE", "state": "relaxed", "sg": "No. 12", "crystal_system": "monoclinic", "raw_formation_energy_kj_per_mol_fu": -3529, "lattice_angstrom": [[6.987, 0.000, 0.000], [0.000, 7.372, 0.209], [-3.494, -3.526, 5.297]], "species": ["K", "K", "K", "K", "Ce", "Ce", "Ce", "Pd", "O", "O", "O", "O", "O", "O", "O", "O"], "fractional_positions": [[0.500, 0.000, 0.000], [0.500, 0.000, 0.500], [0.000, 0.000, 0.000], [0.000, 0.000, 0.500], [0.500, 0.500, 0.000], [0.500, 0.500, 0.500], [0.000, 0.500, 0.500], [0.000, 0.500, 0.000], [0.231, 0.680, 0.935], [0.268, 0.709, 0.535], [0.274, 0.308, 0.548], [0.704, 0.680, 0.935], [0.296, 0.320, 0.065], [0.726, 0.692, 0.452], [0.732, 0.291, 0.465], [0.769, 0.320, 0.065]]}